No. 1
{"formula": "SrYAl2", "functional": "PBE", "state": "relaxed", "lattice_angstrom": [[3.5925, 0.0000, 0.0000], [0.0000, 4.6027, 0.0000], [0.0000, 0.0000, 6.7516]], "species": ["Y", "Al", "Al", "Sr"], "fractional_positions": [[0.5000, 0.5000, 0.8053], [0.5000, 0.5000, 0.2372], [0.0000, 0.0000, 0.9863], [0.0000, 0.0000, 0.4711]], "n_ef_per_ev_atom": 0.614, "spacegroup": "Pmm2, No. 25", "e_tot_ev_per_atom": -3.821, "de_polymorph_ev_per_fu": 1.36}



No. 2
{"formula": "SrYAl2", "functional": "PBE", "state": "relaxed", "lattice_angstrom": [[-7.5359, 2.4888, 2.6527], [1.7896, -2.7759, 7.6885], [-1.5691, 2.9413, 5.9808]], "species": ["Y", "Y", "Al", "Sr", "Al", "Sr", "Al", "Al"], "fractional_positions": [[0.7500, 0.2500, 0.5000], [0.0000, 0.0000, 0.0000], [0.8750, 0.8942, 0.7500], [0.2500, 0.7500, 0.5000], [0.3750, 0.3558, 0.7500], [0.5000, 0.5000, 0.0000], [0.6442, 0.1250, 0.2500], [0.1058, 0.6250, 0.2500]], "n_ef_per_ev_atom": 0.890, "spacegroup": "I-42d, No. 122", "e_tot_ev_per_atom": -3.665, "de_polymorph_ev_per_fu": 1.99}



No. 3
{"formula": "Sr2YAl", "functional": "PBE", "state": "relaxed", "lattice_angstrom": [[9.4471, 0.0000, 0.0000], [0.0000, 9.4471, 0.0000], [4.7235, 4.7235, 3.3502]], "species": ["Sr", "Al", "Y", "Sr", "Sr", "Sr", "Y", "Al"], "fractional_positions": [[0.8750, 0.8271, 0.7500], [0.2500, 0.7500, 0.5000], [0.0000, 0.0000, 0.0000], [0.1729, 0.6250, 0.2500], [0.5771, 0.1250, 0.2500], [0.3750, 0.4229, 0.7500], [0.7500, 0.2500, 0.5000], [0.5000, 0.5000, 0.0000]], "n_ef_per_ev_atom": 1.687, "spacegroup": "I-42d, No. 122", "e_tot_ev_per_atom": -3.071}



No. 4
{"formula": "SrY2Al", "functional": "PBE", "state": "relaxed", "lattice_angstrom": [[-4.6343, 0.1494, 2.0344], [-0.9269, -3.0318, -1.8888], [1.6371, -5.5852, 4.1394]], "species": ["Sr", "Al", "Y", "Y"], "fractional_positions": [[0.5000, 0.7500, 0.7500], [0.5000, 0.2500, 0.2500], [0.0000, 0.0658, 0.0419], [0.0000, 0.4342, 0.4581]], "n_ef_per_ev_atom": 1.304, "spacegroup": "P2/m, No. 10", "e_tot_ev_per_atom": -4.530}



No. 5
{"formula": "Sr2YAl", "functional": "PBE", "state": "relaxed", "lattice_angstrom": [[7.1535, 0.0318, 0.0227], [3.8341, 6.0393, -0.0227], [-4.9894, -3.9485, 3.2695]], "species": ["Al", "Y", "Sr", "Sr"], "fractional_positions": [[0.2500, 0.7500, 0.5000], [0.7500, 0.2500, 0.5000], [0.0434, 0.0434, 0.0000], [0.4566, 0.4566, 0.0000]], "n_ef_per_ev_atom": 1.398, "spacegroup": "Immm, No. 71", "e_tot_ev_per_atom": -3.291}



No. 6
{"formula": "SrY2Al", "functional": "PBE", "state": "relaxed", "lattice_angstrom": [[6.1405, -0.0016, 0.0000], [2.2957, 5.6953, 0.0000], [-4.2181, -2.8468, 3.4365]], "species": ["Sr", "Y", "Al", "Y"], "fractional_positions": [[0.7500, 0.2500, 0.5000], [0.0000, 0.0000, 0.0000], [0.5000, 0.5000, 0.0000], [0.2500, 0.7500, 0.5000]], "n_ef_per_ev_atom": 1.086, "spacegroup": "I-4m2, No. 119", "e_tot_ev_per_atom": -4.533}